Here is an optimized crystal structure of RuCl from Alexandria via LeMat-Bulk. Energies are from PBE.

Summary:
SG: No. 44
distance to the lowest polymorph of the same formula: 296 meV per atom
V: 17.24 A^3/atom
E_form (uncorrected): 0.361 eV per atom
density of states at the Fermi level: 13.3 states/eV/cell

```
RuCl
1.0
2.9166 0.0000 0.0000
0.0000 6.4611 0.0000
0.0000 0.0000 10.9807
Ru Cl
6 6
Direct
0.0000 0.0000 0.0000 Ru
0.0000 0.3023 0.3434 Ru
0.0000 0.6977 0.3434 Ru
0.5000 0.1977 0.8434 Ru
0.5000 0.5000 0.5000 Ru
0.5000 0.8023 0.8434 Ru
0.0000 0.2513 0.6528 Cl
0.0000 0.5000 0.9111 Cl
0.0000 0.7487 0.6528 Cl
0.5000 0.0000 0.4111 Cl
0.5000 0.2487 0.1528 Cl
0.5000 0.7513 0.1528 Cl
```